[1]
A plane-wave DFT calculation with PBE was carried out for a geometry-optimized WAuCl2 structure.

abc: 3.0269 3.1103 8.8288
angles: 90.00 99.16 90.00
Last column: nearest neighbours and their distance in Å.
Space group Pm (No. 6)
One atom of each set of equivalent atoms:
W (0.0000, 0.0000, 0.0000) (multiplicity 1)  2 Cl 2.38
Au (0.5970, 0.5000, 0.2093) (multiplicity 1)  4 Cl 2.80, 4 W 2.83-2.84, 4 Au 3.03-3.11
Cl (0.1893, 0.0000, 0.4119) (multiplicity 1)  4 Au 2.80, 4 Cl 3.03-3.11
Cl (0.9040, 0.5000, 0.7933) (multiplicity 1)  2 W 2.38

Values from the calculation:
* N(E_F): 0.27 states/eV/atom
* uncorrected formation energy: 0.4 eV/f.u.
* crystal system: monoclinic
* M_tot: 0.0 μB per formula unit

[2]
A plane-wave DFT calculation with PBE was carried out for a geometry-optimized EuHo3 structure.

abc: 3.6251 11.5128 6.3045
angles: 90.00 90.00 90.00
Last column: nearest neighbours and their distance in Å.
Space group Imm2 (No. 44)
One atom of each set of equivalent atoms:
Eu (0.0000, 0.0000, 0.0000) (multiplicity 2)  10 Ho 3.52-3.66, 2 Eu 3.63
Ho (0.0000, 0.2436, 0.6627) (multiplicity 4)  9 Ho 3.50-3.64, 3 Eu 3.52-3.61
Ho (0.0000, 0.5000, 0.9966) (multiplicity 2)  8 Ho 3.50-3.63, 4 Eu 3.62-3.66

Values from the calculation:
* N(E_F): 1.59 states/eV/atom
* ΔE_f: 0.28 eV per formula unit
* crystal system: orthorhombic
* M_tot: 7.6 μB per formula unit

[3]
A plane-wave DFT calculation with PBE was carried out for a geometry-optimized Nd5PuRh4 structure.

abc: 17.0396 4.3801 7.3432
angles: 90.00 105.34 90.00
Last column: nearest neighbours and their distance in Å.
Space group C2/m (No. 12)
One atom of each set of equivalent atoms:
Nd (0.0000, 0.0000, 0.0000) (multiplicity 2)  6 Rh 3.00-3.16
Nd (0.1632, 0.5000, 0.5618) (multiplicity 4)  4 Rh 2.90-3.25
Nd (0.1741, 0.5000, 0.0702) (multiplicity 4)  3 Rh 2.88-2.97
Pu (0.0000, 0.0000, 0.5000) (multiplicity 2)  6 Rh 2.73-2.87
Rh (0.0033, 0.5000, 0.7234) (multiplicity 4)  2 Pu 2.73, 3 Nd 3.00-3.05
Rh (0.1452, 0.0000, 0.8071) (multiplicity 4)  1 Pu 2.87, 6 Nd 2.88-3.16, 2 Rh 3.20

Values from the calculation:
* N(E_F): 1.35 states/eV/atom
* ΔE_f: -5.00 eV per formula unit
* crystal system: monoclinic
* M_tot: 4.6 μB per formula unit

[4]
A plane-wave DFT calculation with PBE was carried out for a geometry-optimized Nd2DyAu4 structure.

abc: 5.3234 5.3234 15.1463
angles: 90.00 90.00 90.00
Last column: nearest neighbours and their distance in Å.
Space group I4/mmm (No. 139)
One atom of each set of equivalent atoms:
Nd (0.0000, 0.0000, 0.1209) (multiplicity 4)  5 Au 2.94-3.23
Dy (0.0000, 0.0000, 0.5000) (multiplicity 2)  6 Au 2.66-2.80
Au (0.0000, 0.0000, 0.3148) (multiplicity 4)  1 Dy 2.80, 1 Nd 2.94
Au (0.0000, 0.5000, 0.0000) (multiplicity 4)  2 Dy 2.66

Values from the calculation:
* N(E_F): 0.80 states/eV/atom
* ΔE_f: -2.20 eV per formula unit
* crystal system: tetragonal
* M_tot: 0.0 μB per formula unit